ZrCuPd6: optimized geometry, PBE-GGA.

Structure (POSCAR):
```
ZrCuPd6
1.0
5.625 0.000 0.000
0.000 5.625 0.000
0.000 0.000 3.956
Zr Cu Pd
1 1 6
Direct
0.000 0.000 0.000
0.500 0.500 0.000
0.000 0.500 0.000
0.255 0.255 0.500
0.255 0.745 0.500
0.500 0.000 0.000
0.745 0.255 0.500
0.745 0.745 0.500
```

- density (g cm⁻³) = 10.5
- energy relative to the elements (eV per atom) = -0.455
- magnetization (μB per formula unit) = 0.0
- relative energy among the computed polymorphs (meV/atom) = 0
- raw total energy (Ry/atom) = -0.43582